Entry 1:
## Sr2TmZnTe5 (PBE-GGA)

Data for crystalline Sr2TmZnTe5 at its relaxed geometry.

Values from the calculation:
ΔE_f (raw) = -1.19 eV per atom

Cell lengths 4.3832, 19.8809, 13.6123 Å; angles 90.00, 90.00, 90.00 degrees
Space group Cmc2_1 (No. 36)
One atom of each set of equivalent atoms:
Sr 0.0000 0.1185 0.0000 [4 per cell]
Sr 0.0000 0.1225 0.6367 [4 per cell]
Tm 0.0000 0.2021 0.3317 [4 per cell]
Zn 0.0000 0.4358 0.7463 [4 per cell]
Te 0.0000 0.0470 0.3555 [4 per cell]
Te 0.0000 0.2963 0.9853 [4 per cell]
Te 0.0000 0.3061 0.6738 [4 per cell]
Te 0.0000 0.3537 0.3209 [4 per cell]
Te 0.0000 0.4993 0.0784 [4 per cell]

Entry 2:
## SrUTe3 (PBE-GGA)

Data for crystalline SrUTe3 at its relaxed geometry.

Values from the calculation:
ΔE_f (raw) = -1.03 eV per atom

Cell lengths 8.4275, 4.5861, 17.6329 Å; angles 90.00, 90.00, 90.00 degrees
Space group Pnma (No. 62)
One atom of each set of equivalent atoms:
Sr 0.1170 0.2500 0.2036 [4 per cell]
U 0.2317 0.7500 0.4591 [4 per cell]
Te 0.0069 0.2500 0.4035 [4 per cell]
Te 0.1248 0.7500 0.0554 [4 per cell]
Te 0.1734 0.2500 0.7902 [4 per cell]

Entry 3:
## SrU2Te4 (PBE-GGA)

Data for crystalline SrU2Te4 at its relaxed geometry.

Values from the calculation:
ΔE_f (raw) = -0.88 eV per atom

Cell lengths 4.4173, 14.4286, 15.3589 Å; angles 90.00, 90.00, 90.00 degrees
Space group Cmcm (No. 63)
One atom of each set of equivalent atoms:
Sr 0.0000 0.1080 0.2500 [4 per cell]
U 0.0000 0.3640 0.0628 [8 per cell]
Te 0.0000 0.0000 0.0000 [4 per cell]
Te 0.0000 0.2739 0.6211 [8 per cell]
Te 0.0000 0.4387 0.2500 [4 per cell]

Entry 4:
## SrUTe2 (PBE-GGA)

Data for crystalline SrUTe2 at its relaxed geometry.

Values from the calculation:
ΔE_f (raw) = -0.99 eV per atom

Cell lengths 4.4328, 4.4328, 23.3424 Å; angles 90.00, 90.00, 120.00 degrees
Space group R-3m (No. 166, hexagonal axes)
One atom of each set of equivalent atoms:
Sr 0.0000 0.0000 0.0000 [3 per cell]
U 0.0000 0.0000 0.5000 [3 per cell]
Te 0.0000 0.0000 0.2455 [6 per cell]

Which theoretical density belongs to each record? In order, 5.87; 6.90; 7.29; 7.28 g/cm³.
Which magnetic moment belongs to each record? In order, 0.00; 2.00; 5.90; 3.42 μB per formula unit.
Which DOS at the Fermi energy belongs to each record? In order, 16.22; 31.35; 48.50; 20.60 states/eV per cell.